Li2FeO2F: optimized geometry, PBE+U.

Values from the calculation:
VASP energy   -129.04 eV/cell
Size of the total moment   0.495 μB per formula unit
Space group   P1

```
Li2FeO2F
1.0
5.0573 0.0000 0.0000
-2.5191 4.4268 0.0000
-0.7773 -1.4720 9.6028
Li Fe O F
8 4 8 4
Cartesian
0.0000 0.0000 0.0000
-0.7803 1.2271 2.4105
0.0393 -0.2609 7.1987
1.6595 0.0693 2.4442
0.9769 1.3022 4.8247
0.1000 2.9297 7.1424
1.6805 2.8748 2.3523
2.5905 1.4055 7.2146
-1.7465 2.8829 4.7637
-0.7802 1.3554 9.5878
1.7506 -0.2906 9.5885
3.3912 -0.1121 4.7768
-0.0556 -0.1795 3.6865
-1.5517 2.7694 8.4636
0.8828 1.4913 1.0722
1.7765 -0.2509 5.8174
0.7725 4.2332 1.1029
2.6897 1.3617 3.7270
1.7361 2.9257 5.8647
3.3959 0.0237 8.5157
-1.6947 2.8216 1.1873
-0.8421 1.4017 5.9642
-0.0500 2.8541 3.5727
0.8925 1.3288 8.3250
```